(1)
A relaxed CaSmCoCu crystal. Source: Alexandria via LeMat-Bulk, functional PBE-GGA.

Computed properties:
The space group is No. 216. The energy comes out at -4.4329 eV per atom. The calculation puts the density of states at the Fermi level at 0.5861 states/eV/atom. The calculation puts the formation energy at 0.048 eV/atom.

Cell lengths 4.8964, 4.8964, 4.8964 Å; angles 60.00, 60.00, 60.00 degrees
Closest atoms and distances in Å follow each position.
Sites, in units of the cell vectors:
1 Ca 0.0000 0.0000 0.0000  4 Co 3.00, 4 Cu 3.00
2 Sm 0.5000 0.5000 0.5000  4 Co 3.00, 4 Cu 3.00
3 Co 0.7500 0.7500 0.7500  4 Ca 3.00, 4 Sm 3.00
4 Cu 0.2500 0.2500 0.2500  4 Ca 3.00, 4 Sm 3.00

(2)
A relaxed TiMo2Pd crystal. Source: Alexandria via LeMat-Bulk, functional PBE-GGA.

Computed properties:
The space group is No. 122. The energy comes out at -8.2008 eV per atom. The calculation puts the density of states at the Fermi level at 0.8502 states/eV/atom. The calculation puts the formation energy at 0.487 eV/atom.

Cell lengths 5.7480, 5.7480, 5.7480 Å; angles 101.61, 101.61, 126.70 degrees
Closest atoms and distances in Å follow each position.
Sites, in units of the cell vectors:
1 Ti 0.0000 0.0000 0.0000  2 Pd 2.58, 4 Mo 2.69
2 Ti 0.7500 0.2500 0.5000  2 Pd 2.58, 4 Mo 2.69
3 Mo 0.1343 0.6250 0.0093  2 Mo 2.58, 2 Pd 2.60, 2 Ti 2.69
4 Mo 0.3750 0.3843 0.5093  2 Mo 2.58, 2 Pd 2.60, 2 Ti 2.69
5 Mo 0.6157 0.1250 0.9907  2 Mo 2.58, 2 Pd 2.60, 2 Ti 2.69
6 Mo 0.8750 0.8657 0.4907  2 Mo 2.58, 2 Pd 2.60, 2 Ti 2.69
7 Pd 0.2500 0.7500 0.5000  2 Ti 2.58, 4 Mo 2.60
8 Pd 0.5000 0.5000 0.0000  2 Ti 2.58, 4 Mo 2.60

(3)
A relaxed AcPmInBi crystal. Source: Alexandria via LeMat-Bulk, functional PBE-GGA.

Computed properties:
The space group is No. 216. The energy comes out at -4.3565 eV per atom. The calculation puts the density of states at the Fermi level at 1.1630 states/eV/atom. The calculation puts the formation energy at -0.487 eV/atom.

Cell lengths 5.7149, 5.7149, 5.7149 Å; angles 60.00, 60.00, 60.00 degrees
Closest atoms and distances in Å follow each position.
Sites, in units of the cell vectors:
1 Ac 0.0000 0.0000 0.0000  4 Bi 3.50, 4 In 3.50
2 Pm 0.5000 0.5000 0.5000  4 In 3.50, 4 Bi 3.50
3 In 0.7500 0.7500 0.7500  4 Ac 3.50, 4 Pm 3.50
4 Bi 0.2500 0.2500 0.2500  4 Pm 3.50, 4 Ac 3.50

(4)
A relaxed Zr2MnSiH crystal. Source: Alexandria via LeMat-Bulk, functional PBE-GGA.

Computed properties:
The space group is No. 123. The energy comes out at -7.3753 eV per atom. The calculation puts the density of states at the Fermi level at 0.6490 states/eV/atom.

Cell lengths 4.3977, 4.3977, 3.6870 Å; angles 90.00, 90.00, 90.00 degrees
Closest atoms and distances in Å follow each position.
Sites, in units of the cell vectors:
1 Zr 0.0000 0.5000 0.0000  2 H 2.20
2 Zr 0.5000 0.0000 0.0000  2 H 2.20
3 Mn 0.0000 0.0000 0.5000  2 H 1.84
4 Si 0.5000 0.5000 0.5000  8 Zr 2.87, 4 Mn 3.11
5 H 0.0000 0.0000 0.0000  2 Mn 1.84

(5)
A relaxed Pu2Be2Co15 crystal. Source: Alexandria via LeMat-Bulk, functional PBE-GGA.

Computed properties:
The space group is No. 166. The energy comes out at -7.5574 eV per atom. The calculation puts the density of states at the Fermi level at 1.5147 states/eV/atom. The calculation puts the formation energy at -0.047 eV/atom.

Cell lengths 6.2067, 6.2067, 6.2067 Å; angles 82.94, 82.94, 82.94 degrees
Closest atoms and distances in Å follow each position.
Sites, in units of the cell vectors:
1 Pu 0.1548 0.1548 0.1548  18 Co 2.89-3.20, 1 Be 2.99
2 Pu 0.8452 0.8452 0.8452  18 Co 2.89-3.20, 1 Be 2.99
3 Be 0.4044 0.4044 0.4044  1 Be 2.30, 3 Co 2.52
4 Be 0.5956 0.5956 0.5956  1 Be 2.30, 3 Co 2.52
5 Co 0.0000 0.5000 0.5000  8 Co 2.34-2.38, 2 Be 2.52
6 Co 0.1490 0.1490 0.6458  8 Co 2.38-2.54, 1 Be 2.59
7 Co 0.1490 0.6458 0.1490  8 Co 2.38-2.54, 1 Be 2.59
8 Co 0.2144 0.5000 0.7856  8 Co 2.34-2.54, 2 Be 2.61
9 Co 0.2144 0.7856 0.5000  8 Co 2.34-2.54, 2 Be 2.61
10 Co 0.3542 0.8510 0.8510  8 Co 2.38-2.54, 1 Be 2.59
11 Co 0.5000 0.0000 0.5000  8 Co 2.34-2.38, 2 Be 2.52
12 Co 0.5000 0.2144 0.7856  8 Co 2.34-2.54, 2 Be 2.61
13 Co 0.5000 0.5000 0.0000  8 Co 2.34-2.38, 2 Be 2.52
14 Co 0.5000 0.7856 0.2144  8 Co 2.34-2.54, 2 Be 2.61
15 Co 0.6458 0.1490 0.1490  8 Co 2.38-2.54, 1 Be 2.59
16 Co 0.7856 0.2144 0.5000  8 Co 2.34-2.54, 2 Be 2.61
17 Co 0.7856 0.5000 0.2144  8 Co 2.34-2.54, 2 Be 2.61
18 Co 0.8510 0.3542 0.8510  8 Co 2.38-2.54, 1 Be 2.59
19 Co 0.8510 0.8510 0.3542  8 Co 2.38-2.54, 1 Be 2.59

(6)
A relaxed MgFe2IrN crystal. Source: Alexandria via LeMat-Bulk, functional PBE-GGA.

Computed properties:
The space group is No. 123. The energy comes out at -5.5164 eV per atom. The calculation puts the density of states at the Fermi level at 0.4252 states/eV/atom.

Cell lengths 4.6298, 4.6298, 3.5747 Å; angles 90.00, 90.00, 90.00 degrees
Closest atoms and distances in Å follow each position.
Sites, in units of the cell vectors:
1 Mg 0.0000 0.0000 0.0000  2 N 1.79
2 Fe 0.0000 0.5000 0.0000  2 Mg 2.31
3 Fe 0.5000 0.0000 0.0000  2 Mg 2.31
4 Ir 0.5000 0.5000 0.5000  8 Fe 2.92, 4 N 3.27
5 N 0.0000 0.0000 0.5000  2 Mg 1.79

(7)
A relaxed SrLiPt4 crystal. Source: Alexandria via LeMat-Bulk, functional PBE-GGA.

Computed properties:
The space group is No. 216. The energy comes out at -5.3272 eV per atom. The calculation puts the density of states at the Fermi level at 0.3767 states/eV/atom. The calculation puts the formation energy at -0.701 eV/atom.

Cell lengths 5.4247, 5.4247, 5.4247 Å; angles 60.00, 60.00, 60.00 degrees
Closest atoms and distances in Å follow each position.
Sites, in units of the cell vectors:
1 Sr 0.0000 0.0000 0.0000  12 Pt 3.18, 4 Li 3.32
2 Li 0.2500 0.2500 0.2500  12 Pt 3.18, 4 Sr 3.32
3 Pt 0.1263 0.6246 0.6246  6 Pt 2.70-2.72
4 Pt 0.6246 0.1263 0.6246  6 Pt 2.70-2.72
5 Pt 0.6246 0.6246 0.1263  6 Pt 2.70-2.72
6 Pt 0.6246 0.6246 0.6246  6 Pt 2.70-2.72

(8)
A relaxed CoNiB3 crystal. Source: Alexandria via LeMat-Bulk, functional PBE-GGA.

Computed properties:
The space group is No. 221. The energy comes out at -5.6765 eV per atom. The calculation puts the density of states at the Fermi level at 0.6133 states/eV/atom. The calculation puts the formation energy at 0.907 eV/atom.

Cell lengths 3.6798, 3.6798, 3.6798 Å; angles 90.00, 90.00, 90.00 degrees
Closest atoms and distances in Å follow each position.
Sites, in units of the cell vectors:
1 Co 0.0000 0.0000 0.0000  6 B 1.84
2 Ni 0.5000 0.5000 0.5000  12 B 2.60
3 B 0.0000 0.0000 0.5000  2 Co 1.84
4 B 0.0000 0.5000 0.0000  2 Co 1.84
5 B 0.5000 0.0000 0.0000  2 Co 1.84

(9)
A relaxed MgZn2Cl crystal. Source: Alexandria via LeMat-Bulk, functional PBE-GGA.

Computed properties:
The space group is No. 35. The energy comes out at -1.8855 eV per atom. The calculation puts the density of states at the Fermi level at 0.1927 states/eV/atom.

Cell lengths 3.2172, 3.2172, 8.1884 Å; angles 90.00, 90.00, 92.30 degrees
Closest atoms and distances in Å follow each position.
Sites, in units of the cell vectors:
1 Mg 0.0000 0.0000 0.0000  4 Cl 2.65-2.73
2 Zn 0.0000 0.0000 0.5999  4 Zn 2.58-2.66
3 Zn 0.5000 0.5000 0.7584  4 Zn 2.58-2.66
4 Cl 0.5000 0.5000 0.1748  4 Mg 2.65-2.73

(10)
A relaxed La2InGaTe5 crystal. Source: Alexandria via LeMat-Bulk, functional PBE-GGA.

Computed properties:
The space group is No. 36. The energy comes out at -4.4561 eV per atom. The calculation puts the density of states at the Fermi level at 0.1561 states/eV/atom.

Cell lengths 10.2320, 10.2320, 13.1957 Å; angles 90.00, 90.00, 154.87 degrees
Closest atoms and distances in Å follow each position.
Sites, in units of the cell vectors:
1 La 0.1113 0.8887 0.5000  8 Te 3.29-3.47
2 La 0.1282 0.8718 0.1290  7 Te 3.24-3.60
3 La 0.8718 0.1282 0.6290  7 Te 3.24-3.60
4 La 0.8887 0.1113 0.0000  8 Te 3.29-3.47
5 In 0.2085 0.7915 0.8357  6 Te 3.16-3.35
6 In 0.7915 0.2085 0.3357  6 Te 3.16-3.35
7 Ga 0.4344 0.5656 0.2724  4 Te 2.69-2.73
8 Ga 0.5656 0.4344 0.7724  4 Te 2.69-2.73
9 Te 0.0444 0.9556 0.8874  2 Ga 2.73
10 Te 0.2850 0.7150 0.5075  2 In 3.18, 3 La 3.24-3.47
11 Te 0.3214 0.6786 0.1602  1 Ga 2.70
12 Te 0.3662 0.6338 0.8196  1 In 3.16, 4 La 3.29-3.36
13 Te 0.4958 0.5042 0.5977  1 Ga 2.69
14 Te 0.5042 0.4958 0.0977  1 Ga 2.69
15 Te 0.6338 0.3662 0.3196  1 In 3.16, 4 La 3.29-3.36
16 Te 0.6786 0.3214 0.6602  1 Ga 2.70
17 Te 0.7150 0.2850 0.0075  2 In 3.18, 3 La 3.24-3.47
18 Te 0.9556 0.0444 0.3874  2 Ga 2.73

(11)
A relaxed AcThOsPd crystal. Source: Alexandria via LeMat-Bulk, functional PBE-GGA.

Computed properties:
The space group is No. 216. The energy comes out at -7.2683 eV per atom. The calculation puts the density of states at the Fermi level at 0.8681 states/eV/atom. The calculation puts the formation energy at -0.281 eV/atom.

Cell lengths 5.1767, 5.1767, 5.1767 Å; angles 60.00, 60.00, 60.00 degrees
Closest atoms and distances in Å follow each position.
Sites, in units of the cell vectors:
1 Ac 0.0000 0.0000 0.0000  4 Os 3.17, 4 Pd 3.17
2 Th 0.5000 0.5000 0.5000  4 Os 3.17, 4 Pd 3.17
3 Os 0.7500 0.7500 0.7500  4 Ac 3.17, 4 Th 3.17
4 Pd 0.2500 0.2500 0.2500  4 Ac 3.17, 4 Th 3.17